VASP calculation (GGA-PBE) on a relaxed structure of Cr2AgAu.

a = 8.785 Å, b = 8.785 Å, c = 8.785 Å
α = 18.80°, β = 18.80°, γ = 18.80°
Positions (direct):
Cr  0.000  0.000  0.000
Cr  0.276  0.276  0.276
Ag  0.518  0.518  0.518
Au  0.755  0.755  0.755

## Properties
- formation enthalpy at 0 K (eV per atom) = 0.297
- Fermi-level density of states (states/eV/atom) = 0.662
- polymorph energy (0 for the lowest one) (eV/atom) = 0.117
- magnetization (Bohr magnetons per cell) = 0.0
- energy (eV per cell) = -24.19

VASP calculation (GGA-PBE) on a relaxed structure of Ca3CdAg.

a = 7.443 Å, b = 4.950 Å, c = 8.592 Å
α = 90.00°, β = 101.81°, γ = 90.00°
Positions (direct):
Ca  0.000  0.000  0.000
Ca  0.017  0.500  0.657
Ca  0.258  0.000  0.426
Ca  0.393  0.500  0.149
Ca  0.456  0.000  0.850
Ca  0.734  0.000  0.322
Cd  0.543  0.500  0.576
Cd  0.985  0.500  0.247
Ag  0.724  0.500  0.931
Ag  0.758  0.000  0.672

## Properties
- formation enthalpy at 0 K (eV per atom) = -0.201
- Fermi-level density of states (states/eV/atom) = 0.833
- polymorph energy (0 for the lowest one) (eV/atom) = 0.049
- magnetization (Bohr magnetons per cell) = 0.0
- energy (eV per cell) = -21.56

VASP calculation (GGA-PBE) on a relaxed structure of Zr2GaS.

a = 7.500 Å, b = 7.500 Å, c = 7.500 Å
α = 27.26°, β = 27.26°, γ = 27.26°
Positions (direct):
Zr  0.000  0.000  0.000
Zr  0.192  0.192  0.192
Ga  0.428  0.428  0.428
S  0.596  0.596  0.596

## Properties
- formation energy from raw total energies (kJ per mole of atoms) = -90
- Fermi-level density of states (states/eV/atom) = 0.824
- polymorph energy (0 for the lowest one) (eV/atom) = 0.000
- magnetization (Bohr magnetons per cell) = 0.0
- energy (eV per cell) = -27.98

VASP calculation (GGA-PBE) on a relaxed structure of ZrScZnCr.

a = 4.704 Å, b = 4.704 Å, c = 4.704 Å
α = 60.00°, β = 60.00°, γ = 60.00°
Positions (direct):
Zr  0.000  0.000  0.000
Sc  0.500  0.500  0.500
Zn  0.250  0.250  0.250
Cr  0.750  0.750  0.750

## Properties
- formation enthalpy at 0 K (eV per atom) = 0.013
- Fermi-level density of states (states/eV/atom) = 1.215
- magnetization (Bohr magnetons per cell) = 2.3
- energy (eV per cell) = -25.72

VASP calculation (GGA-PBE) on a relaxed structure of Tb4RhSe2Cl.

a = 7.122 Å, b = 3.970 Å, c = 7.236 Å
α = 90.00°, β = 108.45°, γ = 90.00°
Positions (direct):
Tb  0.224  0.000  0.230
Tb  0.236  0.500  0.751
Tb  0.764  0.500  0.249
Tb  0.776  0.000  0.770
Rh  0.000  0.500  0.000
Se  0.000  0.000  0.500
Se  0.500  0.500  0.500
Cl  0.500  0.000  0.000

## Properties
- formation energy from raw total energies (kJ per mole of atoms) = -136
- Fermi-level density of states (states/eV/atom) = 0.579
- magnetization (Bohr magnetons per cell) = 0.0
- energy (eV per cell) = -45.98

VASP calculation (GGA-PBE) on a relaxed structure of TbEr8Cd6.

a = 8.157 Å, b = 8.157 Å, c = 8.157 Å
α = 66.21°, β = 66.21°, γ = 66.21°
Positions (direct):
Tb  0.000  0.000  0.000
Er  0.116  0.449  0.783
Er  0.217  0.884  0.551
Er  0.333  0.333  0.333
Er  0.449  0.783  0.116
Er  0.551  0.217  0.884
Er  0.667  0.667  0.667
Er  0.783  0.116  0.449
Er  0.884  0.551  0.217
Cd  0.053  0.717  0.388
Cd  0.283  0.612  0.947
Cd  0.388  0.053  0.717
Cd  0.612  0.947  0.283
Cd  0.717  0.388  0.053
Cd  0.947  0.283  0.612

## Properties
- formation enthalpy at 0 K (eV per atom) = -0.059
- Fermi-level density of states (states/eV/atom) = 1.195
- magnetization (Bohr magnetons per cell) = 0.1
- energy (eV per cell) = -47.51